Entry 1:
Entry from Alexandria via LeMat-Bulk: a relaxed structure of AlBiO3 (GGA-PBEsol).

Lattice parameters (Å, degrees): 5.357 5.357 5.384 60.17 60.17 60.00
Element x y z (fractional)
Bi: 0.008 0.008 0.977
Bi: 0.508 0.508 0.477
O: 0.986 0.081 0.383
O: 0.581 0.486 0.883
O: 0.081 0.549 0.383
O: 0.049 0.581 0.883
O: 0.486 0.049 0.883
O: 0.549 0.986 0.383
Al: 0.279 0.279 0.163
Al: 0.779 0.779 0.663

- uncorrected formation energy (eV/atom) = -2.1588


Entry 2:
Entry from Alexandria via LeMat-Bulk: a relaxed structure of AlBiO3 (GGA-PBEsol).

Lattice parameters (Å, degrees): 3.610 3.610 12.637 90.00 90.00 120.00
Element x y z (fractional)
Al: 0.000 0.000 0.000
Al: 0.000 0.000 0.500
Bi: 0.667 0.333 0.750
Bi: 0.333 0.667 0.250
O: 0.333 0.667 0.061
O: 0.667 0.333 0.561
O: 0.667 0.333 0.939
O: 0.333 0.667 0.439
O: 0.000 0.000 0.250
O: 0.000 0.000 0.750

- uncorrected formation energy (eV/atom) = -1.2936